*P*
Al2Zn2Pd | PBE-GGA | optimized geometry Values from VASP.

Its density of states at the Fermi level is 0.225 states/eV/atom. The space group is No. 139.

Geometry as Quantum ESPRESSO input:
```
&SYSTEM
  ibrav = 0, nat = 5, ntyp = 3
/
ATOMIC_SPECIES
Zn 65.41 Zn.upf
Al 26.98 Al.upf
Pd 106.42 Pd.upf
CELL_PARAMETERS angstrom
3.435 0.000 0.000
0.000 3.435 0.000
1.718 1.718 6.905
ATOMIC_POSITIONS crystal
Zn 0.750 0.250 0.500
Zn 0.250 0.750 0.500
Al 0.404 0.404 0.192
Al 0.596 0.596 0.808
Pd 0.000 0.000 0.000
```


*Q*
Al2Zn2Pd | PBE-GGA | optimized geometry Values from VASP.

Its density of states at the Fermi level is 0.358 states/eV/atom. The space group is No. 127.

Geometry as Quantum ESPRESSO input:
```
&SYSTEM
  ibrav = 0, nat = 10, ntyp = 3
/
ATOMIC_SPECIES
Zn 65.41 Zn.upf
Al 26.98 Al.upf
Pd 106.42 Pd.upf
CELL_PARAMETERS angstrom
-0.138 -4.198 5.027
4.975 -3.338 -2.650
2.516 2.223 1.925
ATOMIC_POSITIONS crystal
Zn 0.155 0.655 0.500
Zn 0.655 0.845 0.500
Zn 0.845 0.345 0.500
Zn 0.345 0.155 0.500
Al 0.354 0.854 0.000
Al 0.854 0.646 0.000
Al 0.646 0.146 0.000
Al 0.146 0.354 0.000
Pd 0.000 0.000 0.000
Pd 0.500 0.500 0.000
```


Which structure is the least stable? The one labeled *P*.